[1]
Compound: NiIrAu
Source: Alexandria
Functional: PBE
Structure: optimized geometry

Offset from the most stable computed form: 13.7 kJ/mol of atoms
Symmetry: No. 156
Energy of formation from the pure elements: 0.19 eV per atom

Cell lengths 2.769, 2.769, 6.636 Å; angles 90.00, 90.00, 120.00 degrees
Last column: magnetic moment on the atom in μB.
Sites, in units of the cell vectors:
Ir 0.333 0.667 0.359  0.24
Ni 0.667 0.333 0.655  0.52
Au 0.000 0.000 0.987  0.01



[2]
Compound: NiIr2Au
Source: Alexandria
Functional: PBE
Structure: optimized geometry

Offset from the most stable computed form: 23.8 kJ/mol of atoms
Symmetry: No. 44
Energy of formation from the pure elements: 0.37 eV per atom

Cell lengths 5.332, 5.332, 5.332 Å; angles 149.86, 128.42, 60.91 degrees
Sites, in units of the cell vectors:
Ir 0.988 0.988 0.000
Ir 0.745 0.245 0.500
Au 0.258 0.758 0.500
Ni 0.509 0.509 0.000



[3]
Compound: NiIr2Au
Source: Alexandria
Functional: PBE
Structure: optimized geometry

Offset from the most stable computed form: 20.4 kJ/mol of atoms
Symmetry: No. 139
Energy of formation from the pure elements: 0.34 eV per atom

Cell lengths 4.778, 4.778, 4.778 Å; angles 132.48, 132.48, 69.47 degrees
Sites, in units of the cell vectors:
Ir 0.000 0.000 0.000
Ir 0.500 0.500 0.000
Au 0.750 0.250 0.500
Ni 0.250 0.750 0.500



[4]
Compound: NiIrAu
Source: Alexandria
Functional: PBE
Structure: optimized geometry

Offset from the most stable computed form: 46.2 kJ/mol of atoms
Symmetry: No. 216
Energy of formation from the pure elements: 0.53 eV per atom

Cell lengths 4.116, 4.116, 4.116 Å; angles 60.00, 60.00, 60.00 degrees
Last column: magnetic moment on the atom in μB.
Sites, in units of the cell vectors:
Au 0.000 0.000 0.000  0.10
Ni 0.750 0.750 0.750  0.93
Ir 0.500 0.500 0.500  1.14



Short version: total DFT energy (no corrections) = -17.4, -25.3, -25.4, -16.3 eV/cell, in the order given.